No. 1
Material: Pm4NiRh3
Method: DFT, PBE-GGA
State: relaxed

Lattice parameters (Å, degrees): 3.9586 4.1670 10.9513 90.00 90.00 90.00
Last column: nearest neighbours and their distance in Å.
Sites, in units of the cell vectors:
Pm  0.0000  0.0000  0.1408  3 Rh 2.94-3.06, 4 Ni 2.96
Pm  0.5000  0.0000  0.6409  7 Rh 2.93-3.21
Pm  0.5000  0.5000  0.3595  6 Rh 2.93-3.18, 1 Ni 3.12
Pm  0.0000  0.5000  0.8593  5 Rh 2.97-2.98, 2 Ni 3.08
Rh  0.0000  0.5000  0.5874  2 Rh 2.85, 7 Pm 2.93-3.18
Rh  0.5000  0.0000  0.9277  2 Ni 2.63
Rh  0.0000  0.0000  0.4096  2 Rh 2.85, 5 Pm 2.93-2.94
Ni  0.5000  0.5000  0.0748  2 Rh 2.63

final energy	-0.4771	Ry/atom
space-group type	Pmm2 (25)
DFT formation energy	-61	kJ/mol of atoms

No. 2
Material: PmNi4Rh
Method: DFT, PBE-GGA
State: relaxed

Lattice parameters (Å, degrees): 3.8131 6.1667 7.8240 90.00 104.10 90.00
Last column: nearest neighbours and their distance in Å.
Sites, in units of the cell vectors:
Ni  0.6588  0.9343  0.3177  2 Ni 2.27-2.44, 3 Rh 2.48-2.54
Ni  0.9253  0.2500  0.8505  1 Rh 2.50, 8 Ni 2.56-2.70
Ni  0.5000  0.5000  0.0000  6 Ni 2.44-2.70
Ni  0.3412  0.0657  0.6823  2 Ni 2.27-2.44, 3 Rh 2.48-2.54
Ni  0.5000  0.0000  0.0000  6 Ni 2.44-2.70
Ni  0.0747  0.7500  0.1495  1 Rh 2.50, 8 Ni 2.56-2.70
Ni  0.3412  0.4343  0.6823  2 Ni 2.27-2.44, 3 Rh 2.48-2.54
Ni  0.6588  0.5657  0.3177  2 Ni 2.27-2.44, 3 Rh 2.48-2.54
Rh  0.7603  0.2500  0.5207  7 Ni 2.48-2.54
Rh  0.2397  0.7500  0.4793  7 Ni 2.48-2.54
Pm  0.8886  0.7500  0.7772  11 Ni 2.82-3.13, 2 Rh 2.96
Pm  0.1114  0.2500  0.2228  11 Ni 2.82-3.13, 2 Rh 2.96

final energy	-0.4368	Ry/atom
polymorph energy (0 for the lowest one)	110.2	meV per atom
space-group type	Cmcm (63)
DFT formation energy	-7	kJ/mol of atoms

No. 3
Material: PmNiRh4
Method: DFT, PBE-GGA
State: relaxed

Lattice parameters (Å, degrees): 5.2416 5.2416 5.2416 60.00 60.00 60.00
Last column: nearest neighbours and their distance in Å.
Sites, in units of the cell vectors:
Rh  0.6256  0.1233  0.6256  6 Rh 2.61-2.63
Rh  0.6256  0.6256  0.6256  6 Rh 2.61-2.63
Rh  0.6256  0.6256  0.1233  6 Rh 2.61-2.63
Rh  0.1233  0.6256  0.6256  6 Rh 2.61-2.63
Pm  0.2500  0.2500  0.2500  12 Rh 3.07, 4 Ni 3.21
Ni  0.0000  0.0000  0.0000  12 Rh 3.07, 4 Pm 3.21

final energy	-0.4978	Ry/atom
polymorph energy (0 for the lowest one)	58.7	meV per atom
space-group type	F-43m (216)
DFT formation energy	-11	kJ/mol of atoms

No. 4
Material: Pm3NiRh2
Method: DFT, PBE-GGA
State: relaxed

Lattice parameters (Å, degrees): 4.1015 11.5708 11.5303 90.00 90.00 90.00
Last column: nearest neighbours and their distance in Å.
Sites, in units of the cell vectors:
Rh  0.2500  0.8074  0.9880  2 Ni 2.55
Rh  0.7500  0.1926  0.0120  2 Ni 2.55
Rh  0.2500  0.4946  0.8156  1 Ni 2.61
Rh  0.7500  0.3074  0.5120  2 Ni 2.55
Rh  0.7500  0.5054  0.1844  1 Ni 2.61
Rh  0.2500  0.6926  0.4880  2 Ni 2.55
Rh  0.2500  0.0054  0.3156  1 Ni 2.61
Rh  0.7500  0.9946  0.6844  1 Ni 2.61
Pm  0.2500  0.1247  0.5525  5 Rh 2.96-3.06, 1 Ni 2.98
Pm  0.7500  0.8753  0.4475  5 Rh 2.96-3.06, 1 Ni 2.98
Pm  0.2500  0.0587  0.8799  3 Ni 2.95-2.98, 5 Rh 2.99-3.16
Pm  0.2500  0.6929  0.2121  2 Ni 2.87, 4 Rh 2.90-3.18
Pm  0.7500  0.9413  0.1201  3 Ni 2.95-2.98, 5 Rh 2.99-3.16
Pm  0.2500  0.4413  0.3799  3 Ni 2.95-2.98, 5 Rh 2.99-3.16
Pm  0.7500  0.3071  0.7879  2 Ni 2.87, 4 Rh 2.90-3.18
Pm  0.2500  0.3753  0.0525  5 Rh 2.96-3.06, 1 Ni 2.98
Pm  0.7500  0.5587  0.6201  3 Ni 2.95-2.98, 5 Rh 2.99-3.16
Pm  0.7500  0.6247  0.9475  5 Rh 2.96-3.06, 1 Ni 2.98
Pm  0.7500  0.1929  0.2879  2 Ni 2.87, 4 Rh 2.90-3.18
Pm  0.2500  0.8071  0.7121  2 Ni 2.87, 4 Rh 2.90-3.18
Ni  0.2500  0.3720  0.6259  3 Rh 2.55-2.61
Ni  0.7500  0.6280  0.3741  3 Rh 2.55-2.61
Ni  0.7500  0.8720  0.8741  3 Rh 2.55-2.61
Ni  0.2500  0.1280  0.1259  3 Rh 2.55-2.61

final energy	-0.4689	Ry/atom
polymorph energy (0 for the lowest one)	0.0	meV per atom
space-group type	Pnma (62)
DFT formation energy	-57	kJ/mol of atoms

No. 5
Material: Pm6NiRh5
Method: DFT, PBE-GGA
State: relaxed

Lattice parameters (Å, degrees): 4.9589 7.0677 7.8471 90.00 108.62 90.00
Last column: nearest neighbours and their distance in Å.
Sites, in units of the cell vectors:
Pm  0.1659  0.7505  0.3325  1 Ni 3.04, 7 Rh 3.04-3.05
Pm  0.1659  0.2495  0.3325  1 Ni 3.04, 7 Rh 3.04-3.05
Pm  0.8341  0.2495  0.6675  1 Ni 3.04, 7 Rh 3.04-3.05
Pm  0.5000  0.2494  0.0000  6 Rh 3.04-3.06, 2 Ni 3.04
Pm  0.5000  0.7506  0.0000  6 Rh 3.04-3.06, 2 Ni 3.04
Pm  0.8341  0.7505  0.6675  1 Ni 3.04, 7 Rh 3.04-3.05
Rh  0.3330  0.5000  0.6645  8 Pm 3.04-3.06
Rh  0.3345  0.0000  0.6673  8 Pm 3.04-3.05
Rh  0.6670  0.5000  0.3355  8 Pm 3.04-3.06
Rh  0.6656  0.0000  0.3327  8 Pm 3.04-3.05
Rh  0.0000  0.5000  0.0000  8 Pm 3.04-3.05
Ni  0.0000  0.0000  0.0000  8 Pm 3.04

final energy	-0.4808	Ry/atom
space-group type	P2/m (10)
DFT formation energy	-60	kJ/mol of atoms

No. 6
Material: Pm3Ni4Rh4
Method: DFT, PBE-GGA
State: relaxed

Lattice parameters (Å, degrees): 6.4755 6.4755 6.4755 109.47 109.47 109.47
Last column: nearest neighbours and their distance in Å.
Sites, in units of the cell vectors:
Pm  0.0000  0.5000  0.5000  4 Ni 3.08, 4 Rh 3.10
Pm  0.5000  0.5000  0.0000  4 Ni 3.08, 4 Rh 3.10
Pm  0.5000  0.0000  0.5000  4 Ni 3.08, 4 Rh 3.10
Rh  0.7518  0.7518  0.7518  4 Ni 2.29-2.54
Rh  0.2482  0.0000  0.0000  4 Ni 2.29-2.54
Rh  0.0000  0.2482  0.0000  4 Ni 2.29-2.54
Rh  0.0000  0.0000  0.2482  4 Ni 2.29-2.54
Ni  0.0000  0.6025  0.0000  4 Rh 2.29-2.54
Ni  0.6025  0.0000  0.0000  4 Rh 2.29-2.54
Ni  0.0000  0.0000  0.6025  4 Rh 2.29-2.54
Ni  0.3975  0.3975  0.3975  4 Rh 2.29-2.54

final energy	-0.4612	Ry/atom
space-group type	I-43m (217)
DFT formation energy	-20	kJ/mol of atoms

No. 7
Material: Pm7NiRh4
Method: DFT, PBE-GGA
State: relaxed

Lattice parameters (Å, degrees): 3.9863 6.9834 12.1534 104.40 90.00 106.58
Last column: nearest neighbours and their distance in Å.
Sites, in units of the cell vectors:
Pm  0.5005  0.0011  0.5039  2 Ni 2.81, 2 Rh 2.83
Pm  0.6563  0.3126  0.0484  5 Rh 2.84-3.17
Pm  0.9602  0.9203  0.2158  4 Rh 2.82-2.90
Pm  0.0397  0.0793  0.7836  3 Rh 2.80-2.89, 1 Ni 2.81
Pm  0.2588  0.5176  0.6400  3 Rh 2.81-3.07, 2 Ni 2.84
Pm  0.3432  0.6864  0.9500  5 Rh 2.84-3.14
Pm  0.7428  0.4857  0.3604  1 Ni 2.82, 4 Rh 2.86-3.09
Rh  0.7001  0.4001  0.8047  7 Pm 2.89-3.17
Rh  0.0000  0.0000  0.9991  6 Pm 2.80-2.84
Rh  0.2988  0.5976  0.1915  7 Pm 2.90-3.14
Rh  0.1154  0.2309  0.4253  6 Pm 2.81-2.86
Ni  0.8843  0.7685  0.5774  6 Pm 2.81-2.84

final energy	-0.4587	Ry/atom
space-group type	Cm (8)
DFT formation energy	-52	kJ/mol of atoms

No. 8
Material: Pm6NiRh2
Method: DFT, PBE-GGA
State: relaxed

Lattice parameters (Å, degrees): 8.5244 8.5244 8.5244 106.90 110.81 110.73
Last column: nearest neighbours and their distance in Å.
Sites, in units of the cell vectors:
Pm  0.3103  0.6403  0.3300  3 Rh 2.75-3.03
Pm  0.4391  0.2666  0.1725  3 Rh 2.98-3.10, 1 Ni 3.08
Pm  0.1840  0.2522  0.4362  1 Rh 2.91, 2 Ni 3.08-3.12
Pm  0.6897  0.0197  0.3300  3 Rh 2.75-3.03
Pm  0.8160  0.2522  0.0682  1 Rh 2.91, 2 Ni 3.08-3.12
Pm  0.9060  0.7334  0.1725  3 Rh 2.98-3.10, 1 Ni 3.08
Pm  0.0940  0.2666  0.8275  3 Rh 2.98-3.10, 1 Ni 3.08
Pm  0.8160  0.7478  0.5638  1 Rh 2.91, 2 Ni 3.08-3.12
Pm  0.5609  0.7334  0.8275  3 Rh 2.98-3.10, 1 Ni 3.08
Pm  0.1840  0.7478  0.9318  1 Rh 2.91, 2 Ni 3.08-3.12
Pm  0.6897  0.3597  0.6700  3 Rh 2.75-3.03
Pm  0.3103  0.9803  0.6700  3 Rh 2.75-3.03
Rh  0.5000  0.3710  0.8710  1 Rh 2.62, 2 Pm 2.75
Rh  0.5000  0.6290  0.1290  1 Rh 2.62, 2 Pm 2.75
Rh  0.6742  0.0000  0.6742  8 Pm 2.91-3.03, 1 Ni 3.15
Rh  0.3258  0.0000  0.3258  8 Pm 2.91-3.03, 1 Ni 3.15
Ni  0.0000  0.5000  0.5000  4 Pm 3.08
Ni  0.0000  0.0000  0.0000  8 Pm 3.08-3.12, 2 Rh 3.15

final energy	-0.4285	Ry/atom
polymorph energy (0 for the lowest one)	28.4	meV per atom
space-group type	Immm (71)
DFT formation energy	-37	kJ/mol of atoms

No. 9
Material: Pm8Ni2Rh
Method: DFT, PBE-GGA
State: relaxed

Lattice parameters (Å, degrees): 6.3160 7.5497 7.5497 113.10 100.60 100.60
Last column: nearest neighbours and their distance in Å.
Sites, in units of the cell vectors:
Pm  0.9823  0.7954  0.2040  1 Rh 2.83
Pm  0.5910  0.0840  0.3500  2 Ni 2.78-2.79
Pm  0.1749  0.3636  0.3636  1 Rh 2.94, 2 Ni 3.07
Pm  0.9823  0.2040  0.7954  1 Rh 2.83
Pm  0.3642  0.6547  0.9201  2 Ni 2.80-2.83, 1 Rh 3.03
Pm  0.5910  0.3500  0.0840  2 Ni 2.78-2.79
Pm  0.3642  0.9201  0.6547  2 Ni 2.80-2.83, 1 Rh 3.03
Pm  0.8008  0.6425  0.6425  2 Ni 3.06, 1 Rh 3.17
Rh  0.1722  0.0095  0.0095  7 Pm 2.83-3.12
Ni  0.4883  0.6938  0.3164  6 Pm 2.78-3.07
Ni  0.4883  0.3164  0.6938  6 Pm 2.78-3.07

final energy	-0.3919	Ry/atom
polymorph energy (0 for the lowest one)	77.7	meV per atom
space-group type	Cm (8)
DFT formation energy	-15	kJ/mol of atoms

No. 10
Material: Pm5Ni4Rh
Method: DFT, PBE-GGA
State: relaxed

Lattice parameters (Å, degrees): 3.4802 3.4802 17.4355 90.00 90.00 90.00
Last column: nearest neighbours and their distance in Å.
Sites, in units of the cell vectors:
Pm  0.5000  0.5000  0.1008  4 Rh 3.02, 4 Ni 3.04
Pm  0.5000  0.5000  0.6991  8 Ni 3.00-3.01
Pm  0.5000  0.5000  0.8992  4 Rh 3.02, 4 Ni 3.04
Pm  0.5000  0.5000  0.3009  8 Ni 3.00-3.01
Pm  0.5000  0.5000  0.5000  8 Ni 3.01
Ni  0.0000  0.0000  0.7973  8 Pm 3.00-3.04
Ni  0.0000  0.0000  0.5995  8 Pm 3.01
Ni  0.0000  0.0000  0.2027  8 Pm 3.00-3.04
Ni  0.0000  0.0000  0.4005  8 Pm 3.01
Rh  0.0000  0.0000  0.0000  8 Pm 3.02

final energy	-0.4236	Ry/atom
space-group type	P4/mmm (123)
DFT formation energy	-33	kJ/mol of atoms

No. 11
Material: Pm3NiRh
Method: DFT, PBE-GGA
State: relaxed

Lattice parameters (Å, degrees): 6.8918 7.2827 10.0518 99.17 90.00 90.00
Last column: nearest neighbours and their distance in Å.
Sites, in units of the cell vectors:
Ni  0.3105  0.9476  0.9433  1 Rh 2.73, 7 Pm 2.77-3.04, 1 Ni 2.90
Ni  0.1895  0.4476  0.4433  1 Rh 2.73, 7 Pm 2.77-3.04, 1 Ni 2.90
Ni  0.8105  0.5524  0.5567  1 Rh 2.73, 7 Pm 2.77-3.04, 1 Ni 2.90
Ni  0.6895  0.0524  0.0567  1 Rh 2.73, 7 Pm 2.77-3.04, 1 Ni 2.90
Pm  0.0055  0.2350  0.9375  2 Rh 2.83-3.15, 2 Ni 2.91-2.97
Pm  0.6697  0.8568  0.7690  2 Rh 2.85-2.95, 3 Ni 2.98-3.04
Pm  0.4945  0.7350  0.4375  2 Rh 2.83-3.15, 2 Ni 2.91-2.97
Pm  0.0118  0.7898  0.4168  2 Ni 2.77-2.83, 1 Rh 2.89
Pm  0.5055  0.2650  0.5625  2 Rh 2.83-3.15, 2 Ni 2.91-2.97
Pm  0.3303  0.1432  0.2310  2 Rh 2.85-2.95, 3 Ni 2.98-3.04
Pm  0.1697  0.6432  0.7310  2 Rh 2.85-2.95, 3 Ni 2.98-3.04
Pm  0.5118  0.7102  0.0832  2 Ni 2.77-2.83, 1 Rh 2.89
Pm  0.9945  0.7650  0.0625  2 Rh 2.83-3.15, 2 Ni 2.91-2.97
Pm  0.8303  0.3568  0.2690  2 Rh 2.85-2.95, 3 Ni 2.98-3.04
Pm  0.9882  0.2102  0.5832  2 Ni 2.77-2.83, 1 Rh 2.89
Pm  0.4882  0.2898  0.9168  2 Ni 2.77-2.83, 1 Rh 2.89
Rh  0.7973  0.5029  0.8202  1 Ni 2.73, 4 Pm 2.83-2.95
Rh  0.2973  0.9971  0.6798  1 Ni 2.73, 4 Pm 2.83-2.95
Rh  0.2027  0.4971  0.1798  1 Ni 2.73, 4 Pm 2.83-2.95
Rh  0.7027  0.0029  0.3202  1 Ni 2.73, 4 Pm 2.83-2.95

final energy	-0.4324	Ry/atom
space-group type	P2_1/c (14)
DFT formation energy	-39	kJ/mol of atoms

No. 12
Material: Pm3Ni2Rh
Method: DFT, PBE-GGA
State: relaxed

Lattice parameters (Å, degrees): 3.9999 11.7628 11.6006 90.00 90.00 90.00
Last column: nearest neighbours and their distance in Å.
Sites, in units of the cell vectors:
Ni  0.2500  0.4926  0.8185  1 Rh 2.65, 4 Pm 2.90-2.96
Ni  0.2500  0.8047  0.9864  2 Rh 2.51
Ni  0.7500  0.9926  0.6815  1 Rh 2.65, 4 Pm 2.90-2.96
Ni  0.7500  0.3047  0.5136  2 Rh 2.51
Ni  0.2500  0.0074  0.3185  1 Rh 2.65, 4 Pm 2.90-2.96
Ni  0.7500  0.5074  0.1815  1 Rh 2.65, 4 Pm 2.90-2.96
Ni  0.2500  0.6953  0.4864  2 Rh 2.51
Ni  0.7500  0.1953  0.0136  2 Rh 2.51
Rh  0.2500  0.1271  0.1254  3 Ni 2.51-2.65
Rh  0.2500  0.3729  0.6254  3 Ni 2.51-2.65
Rh  0.7500  0.6271  0.3746  3 Ni 2.51-2.65
Rh  0.7500  0.8729  0.8746  3 Ni 2.51-2.65
Pm  0.2500  0.8089  0.7071  2 Rh 2.89, 3 Ni 2.89-2.96
Pm  0.2500  0.4411  0.3782  3 Rh 2.97-2.98, 5 Ni 3.01-3.24
Pm  0.7500  0.3089  0.7929  2 Rh 2.89, 3 Ni 2.89-2.96
Pm  0.2500  0.0589  0.8782  3 Rh 2.97-2.98, 5 Ni 3.01-3.24
Pm  0.7500  0.9411  0.1218  3 Rh 2.97-2.98, 5 Ni 3.01-3.24
Pm  0.2500  0.3773  0.0573  5 Ni 2.90-3.08, 1 Rh 3.05
Pm  0.7500  0.8773  0.4427  5 Ni 2.90-3.08, 1 Rh 3.05
Pm  0.2500  0.1227  0.5573  5 Ni 2.90-3.08, 1 Rh 3.05
Pm  0.2500  0.6911  0.2071  2 Rh 2.89, 3 Ni 2.89-2.96
Pm  0.7500  0.1911  0.2929  2 Rh 2.89, 3 Ni 2.89-2.96
Pm  0.7500  0.5589  0.6218  3 Rh 2.97-2.98, 5 Ni 3.01-3.24
Pm  0.7500  0.6227  0.9427  5 Ni 2.90-3.08, 1 Rh 3.05

final energy	-0.4364	Ry/atom
polymorph energy (0 for the lowest one)	0.0	meV per atom
space-group type	Pnma (62)
DFT formation energy	-40	kJ/mol of atoms